Record 1
# PBE GdZnHg, optimized geometry
data_GdZnHg
_chemical_formula_sum 'Gd4 Zn4 Hg4'
_symmetry_space_group_name_H-M 'F -4 3 m'
_symmetry_Int_Tables_number 216
_symmetry_space_group_name_Hall 'F -4 2 3'
_cell_length_a 6.9190
_cell_length_b 6.9190
_cell_length_c 6.9190
_cell_angle_alpha 90.00
_cell_angle_beta 90.00
_cell_angle_gamma 90.00
loop_
_atom_site_label
_atom_site_fract_x
_atom_site_fract_y
_atom_site_fract_z
Gd1 0.0000 0.0000 0.0000
Zn1 0.2500 0.2500 0.2500
Hg1 0.2500 0.2500 0.7500
# VASP energy   -24.6 eV for the cell shown
# Calculated formation energy   0.0254 eV per atom
# Volume   82.81 Å³/f.u.

***

Record 2
# PBE GdHo, optimized geometry
data_GdHo
_chemical_formula_sum 'Gd4 Ho4'
_symmetry_space_group_name_H-M 'F -4 3 m'
_symmetry_Int_Tables_number 216
_symmetry_space_group_name_Hall 'F -4 2 3'
_cell_length_a 6.9352
_cell_length_b 6.9352
_cell_length_c 6.9352
_cell_angle_alpha 90.00
_cell_angle_beta 90.00
_cell_angle_gamma 90.00
loop_
_atom_site_label
_atom_site_fract_x
_atom_site_fract_y
_atom_site_fract_z
Gd1 0.0000 0.0000 0.0000
Ho1 0.2500 0.2500 0.7500
# VASP energy   -21.7 eV for the cell shown
# Calculated formation energy   1.9047 eV per atom
# Volume   83.39 Å³/f.u.

***

Record 3
# PBE GdHo, optimized geometry
data_GdHo
_chemical_formula_sum 'Gd2 Ho2'
_symmetry_space_group_name_H-M 'P 63/m m c'
_symmetry_Int_Tables_number 194
_symmetry_space_group_name_Hall '-P 6c 2c'
_cell_length_a 4.0925
_cell_length_b 4.0925
_cell_length_c 8.3028
_cell_angle_alpha 90.00
_cell_angle_beta 90.00
_cell_angle_gamma 120.00
loop_
_atom_site_label
_atom_site_fract_x
_atom_site_fract_y
_atom_site_fract_z
Gd1 0.0000 0.0000 0.0000
Ho1 0.3333 0.6667 0.2500
# VASP energy   -16.1 eV for the cell shown
# Calculated formation energy   0.5815 eV per atom
# Volume   60.21 Å³/f.u.

***

Record 4
# PBE GdHo, optimized geometry
data_GdHo
_chemical_formula_sum 'Gd2 Ho2'
_symmetry_space_group_name_H-M 'P 63/m m c'
_symmetry_Int_Tables_number 194
_symmetry_space_group_name_Hall '-P 6c 2c'
_cell_length_a 3.6686
_cell_length_b 3.6686
_cell_length_c 10.2400
_cell_angle_alpha 90.00
_cell_angle_beta 90.00
_cell_angle_gamma 120.00
loop_
_atom_site_label
_atom_site_fract_x
_atom_site_fract_y
_atom_site_fract_z
Gd1 0.3333 0.6667 0.2500
Ho1 0.0000 0.0000 0.0000
# VASP energy   -18.0 eV for the cell shown
# Calculated formation energy   0.1107 eV per atom
# Volume   59.68 Å³/f.u.

***

Record 5
# PBE GdHo, optimized geometry
data_GdHo
_chemical_formula_sum 'Gd1 Ho1'
_symmetry_space_group_name_H-M 'P -6 m 2'
_symmetry_Int_Tables_number 187
_symmetry_space_group_name_Hall 'P -6 2'
_cell_length_a 3.6088
_cell_length_b 3.6088
_cell_length_c 5.6479
_cell_angle_alpha 90.00
_cell_angle_beta 90.00
_cell_angle_gamma 120.00
loop_
_atom_site_label
_atom_site_fract_x
_atom_site_fract_y
_atom_site_fract_z
Gd1 0.0000 0.0000 0.0000
Ho1 0.6667 0.3333 0.5000
# VASP energy   -9.2 eV for the cell shown
# Calculated formation energy   0.0120 eV per atom
# Volume   63.70 Å³/f.u.

***

Record 6
# PBE GdHo, optimized geometry
data_GdHo
_chemical_formula_sum 'Gd4 Ho4'
_symmetry_space_group_name_H-M 'F m -3 m'
_symmetry_Int_Tables_number 225
_symmetry_space_group_name_Hall '-F 4 2 3'
_cell_length_a 6.4525
_cell_length_b 6.4525
_cell_length_c 6.4525
_cell_angle_alpha 90.00
_cell_angle_beta 90.00
_cell_angle_gamma 90.00
loop_
_atom_site_label
_atom_site_fract_x
_atom_site_fract_y
_atom_site_fract_z
Gd1 0.0000 0.0000 0.0000
Ho1 0.0000 0.0000 0.5000
# VASP energy   -30.8 eV for the cell shown
# Calculated formation energy   0.7684 eV per atom
# Volume   67.16 Å³/f.u.

***

Record 7
# PBE Gd2Ho2I5N, optimized geometry
data_Gd2Ho2I5N
_chemical_formula_sum 'Gd4 Ho4 I10 N2'
_symmetry_space_group_name_H-M 'C 1 2/m 1'
_symmetry_Int_Tables_number 12
_symmetry_space_group_name_Hall '-C 2y'
_cell_length_a 20.7919
_cell_length_b 3.9256
_cell_length_c 8.5383
_cell_angle_alpha 90.00
_cell_angle_beta 101.67
_cell_angle_gamma 90.00
loop_
_atom_site_label
_atom_site_fract_x
_atom_site_fract_y
_atom_site_fract_z
Gd1 0.9998 0.0000 0.1915
Ho1 0.1124 0.5000 0.0557
I1 0.0000 0.5000 0.5000
I2 0.1519 0.0000 0.3295
I3 0.1529 0.0000 0.8212
N1 0.0000 0.5000 0.0000
# VASP energy   -94.5 eV for the cell shown
# Volume   341.25 Å³/f.u.

***

Record 8
# PBE GdHoPI2, optimized geometry
data_GdHoPI2
_chemical_formula_sum 'Gd1 Ho1 P1 I2'
_symmetry_space_group_name_H-M 'P 3 m 1'
_symmetry_Int_Tables_number 156
_symmetry_space_group_name_Hall 'P 3 -2"'
_cell_length_a 4.1073
_cell_length_b 4.1073
_cell_length_c 10.8300
_cell_angle_alpha 90.00
_cell_angle_beta 90.00
_cell_angle_gamma 120.00
loop_
_atom_site_label
_atom_site_fract_x
_atom_site_fract_y
_atom_site_fract_z
Gd1 0.0000 0.0000 0.0000
Ho1 0.3333 0.6667 0.2751
P1 0.6667 0.3333 0.1410
I1 0.0000 0.0000 0.4632
I2 0.3333 0.6667 0.8081
# VASP energy   -25.4 eV for the cell shown
# Volume   158.23 Å³/f.u.

***

Question: What is the VASP energy in the seventh record?
Answer: -94.5 eV for the cell shown

***

Question: Which value of VASP energy does entry 2 give?
Answer: -21.7 eV for the cell shown